(1)
A relaxed Y2SnRuPb crystal, computed with PBE.

The structure in extended XYZ format:
```
5
Lattice="5.658 0.000 0.000 0.000 5.496 0.000 0.000 0.000 5.658" Properties=species:S:1:pos:R:3 pbc="T T T"
Y 0.000 0.000 2.829
Y 2.829 0.000 0.000
Ru 2.829 2.748 2.829
Sn 0.000 0.000 0.000
Pb 0.000 2.748 0.000
```

DOS at the Fermi energy ... 5.797 states/eV per cell

(2)
A relaxed SrRuPb2 crystal, computed with PBE.

The structure in extended XYZ format:
```
4
Lattice="4.623 0.000 0.000 0.000 4.623 0.000 0.000 0.000 4.772" Properties=species:S:1:pos:R:3 pbc="T T T"
Ru 2.312 0.000 2.386
Sr 0.000 2.312 2.386
Pb 2.312 2.312 0.000
Pb 0.000 0.000 0.000
```

DOS at the Fermi energy ... 4.074 states/eV per cell

no.,total magnetic moment (μB/f.u.),total DFT energy (no corrections) (eV per atom)
1,1.53,-4.950
2,0.02,-4.294